Record 1
KCuSb2: optimized geometry, PBE-GGA.

Lattice parameters (Å, degrees): 9.739 9.739 9.739 21.19 21.19 21.19
Fractional coordinates of all 4 atoms:
K 0.750 0.750 0.750
Sb 0.520 0.520 0.520
Sb 0.980 0.980 0.980
Cu 0.250 0.250 0.250

Values from the calculation:
- E above lowest polymorph (meV/atom) = 144
- ΔE_f (raw) (eV/atom) = 0.034
- space-group type = R-3m (166)

=====

Record 2
K2CuSb2: optimized geometry, PBE-GGA.

Lattice parameters (Å, degrees): 7.144 7.144 5.837 90.00 90.00 90.00
Fractional coordinates of all 10 atoms:
Cu 0.500 0.500 0.000
Cu 0.000 0.000 0.000
Sb 0.649 0.149 0.000
Sb 0.149 0.351 0.000
Sb 0.351 0.851 0.000
Sb 0.851 0.649 0.000
K 0.335 0.165 0.500
K 0.835 0.335 0.500
K 0.165 0.665 0.500
K 0.665 0.835 0.500

Values from the calculation:
- ΔE_f (raw) (eV/atom) = -0.221
- space-group type = P4/mbm (127)

=====

Record 3
KCuSb2: optimized geometry, PBE-GGA.

Lattice parameters (Å, degrees): 5.320 5.320 5.320 60.00 60.00 60.00
Fractional coordinates of all 4 atoms:
K 0.750 0.750 0.750
Cu 0.500 0.500 0.500
Sb 0.250 0.250 0.250
Sb 0.000 0.000 0.000

Values from the calculation:
- E above lowest polymorph (meV/atom) = 388
- ΔE_f (raw) (eV/atom) = 0.279
- space-group type = F-43m (216)

=====

Record 4
KCu2Sb2: optimized geometry, PBE-GGA.

Lattice parameters (Å, degrees): 8.402 8.402 3.196 90.00 90.00 90.00
Fractional coordinates of all 10 atoms:
Cu 0.888 0.612 0.000
Cu 0.112 0.388 0.000
Cu 0.612 0.112 0.000
Cu 0.388 0.888 0.000
K 0.500 0.500 0.000
K 0.000 0.000 0.000
Sb 0.158 0.658 0.500
Sb 0.658 0.842 0.500
Sb 0.842 0.342 0.500
Sb 0.342 0.158 0.500

Values from the calculation:
- ΔE_f (raw) (eV/atom) = 0.055
- space-group type = P4/mbm (127)

=====

Record 5
KCu9Sb4: optimized geometry, PBE-GGA.

Lattice parameters (Å, degrees): 8.702 8.702 8.963 119.04 119.04 90.00
Fractional coordinates of all 28 atoms:
Cu 0.796 0.050 0.000
Cu 0.204 0.950 0.000
Cu 0.050 0.204 0.000
Cu 0.933 0.220 0.653
Cu 0.296 0.450 0.000
Cu 0.280 0.567 0.347
Cu 0.950 0.796 0.000
Cu 0.567 0.067 0.347
Cu 0.780 0.280 0.347
Cu 0.000 0.500 0.000
Cu 0.450 0.704 0.000
Cu 0.433 0.933 0.653
Cu 0.067 0.780 0.347
Cu 0.500 0.000 0.000
Cu 0.720 0.433 0.653
Cu 0.704 0.550 0.000
Cu 0.220 0.720 0.653
Cu 0.550 0.296 0.000
Sb 0.313 0.813 0.256
Sb 0.557 0.687 0.744
Sb 0.443 0.313 0.256
Sb 0.943 0.443 0.256
Sb 0.687 0.187 0.744
Sb 0.813 0.943 0.256
Sb 0.057 0.557 0.744
Sb 0.187 0.057 0.744
K 0.750 0.750 0.500
K 0.250 0.250 0.500

Values from the calculation:
- ΔE_f (raw) (eV/atom) = 0.003
- space-group type = I4/mcm (140)

=====

Record 6
KCuSb2: optimized geometry, PBE-GGA.

Lattice parameters (Å, degrees): 5.228 5.228 5.228 60.00 60.00 60.00
Fractional coordinates of all 4 atoms:
Cu 0.500 0.500 0.500
Sb 0.750 0.750 0.750
Sb 0.250 0.250 0.250
K 0.000 0.000 0.000

Values from the calculation:
- E above lowest polymorph (meV/atom) = 403
- ΔE_f (raw) (eV/atom) = 0.294
- space-group type = Fm-3m (225)